Arrangement one

# LiTe GGA-PBE relaxed
data_LiTe
_space_group_name_H-M_alt 'P 1'
_space_group_IT_number 1
_cell_length_a 9.205
_cell_length_b 9.205
_cell_length_c 5.984
_cell_angle_alpha 90.00
_cell_angle_beta 90.00
_cell_angle_gamma 90.00
loop_
_space_group_symop_operation_xyz
'x,y,z'
loop_
_atom_site_label
_atom_site_type_symbol
_atom_site_fract_x
_atom_site_fract_y
_atom_site_fract_z
Li1 Li 0.102 0.336 0.000
Li2 Li 0.164 0.398 0.500
Li3 Li 0.336 0.898 0.000
Li4 Li 0.398 0.836 0.500
Li5 Li 0.602 0.164 0.500
Li6 Li 0.664 0.102 0.000
Li7 Li 0.836 0.602 0.500
Li8 Li 0.898 0.664 0.000
Te1 Te 0.134 0.693 0.500
Te2 Te 0.193 0.634 0.000
Te3 Te 0.307 0.134 0.500
Te4 Te 0.366 0.193 0.000
Te5 Te 0.634 0.807 0.000
Te6 Te 0.693 0.866 0.500
Te7 Te 0.807 0.366 0.000
Te8 Te 0.866 0.307 0.500
# Symmetry ... No. 128
# Total magnetization ... 0.0 Bohr magnetons per cell

Arrangement two

# LiTe GGA-PBE relaxed
data_LiTe
_space_group_name_H-M_alt 'P 1'
_space_group_IT_number 1
_cell_length_a 5.258
_cell_length_b 5.258
_cell_length_c 5.258
_cell_angle_alpha 60.00
_cell_angle_beta 60.00
_cell_angle_gamma 60.00
loop_
_space_group_symop_operation_xyz
'x,y,z'
loop_
_atom_site_label
_atom_site_type_symbol
_atom_site_fract_x
_atom_site_fract_y
_atom_site_fract_z
Li1 Li 0.125 0.125 0.125
Li2 Li 0.875 0.875 0.875
Te1 Te 0.375 0.375 0.375
Te2 Te 0.625 0.625 0.625
# Symmetry ... No. 227
# Total magnetization ... 0.0 Bohr magnetons per cell

arrangement one (360 meV per atom below the next structure)

Arrangement one

# TcMo2Ru GGA-PBE relaxed
data_TcMo2Ru
_space_group_name_H-M_alt 'P 1'
_space_group_IT_number 1
_cell_length_a 3.149
_cell_length_b 3.149
_cell_length_c 6.199
_cell_angle_alpha 90.00
_cell_angle_beta 90.00
_cell_angle_gamma 90.00
loop_
_space_group_symop_operation_xyz
'x,y,z'
loop_
_atom_site_label
_atom_site_type_symbol
_atom_site_fract_x
_atom_site_fract_y
_atom_site_fract_z
Tc1 Tc 0.000 0.000 0.000
Mo1 Mo 0.000 0.000 0.487
Mo2 Mo 0.500 0.500 0.217
Ru1 Ru 0.500 0.500 0.705
# Symmetry ... No. 99
# Total magnetization ... 0.0 Bohr magnetons per cell

Arrangement two

# TcMo2Ru GGA-PBE relaxed
data_TcMo2Ru
_space_group_name_H-M_alt 'P 1'
_space_group_IT_number 1
_cell_length_a 4.837
_cell_length_b 4.837
_cell_length_c 4.784
_cell_angle_alpha 98.86
_cell_angle_beta 98.86
_cell_angle_gamma 33.23
loop_
_space_group_symop_operation_xyz
'x,y,z'
loop_
_atom_site_label
_atom_site_type_symbol
_atom_site_fract_x
_atom_site_fract_y
_atom_site_fract_z
Tc1 Tc 0.000 0.000 0.000
Mo1 Mo 0.518 0.518 0.517
Mo2 Mo 0.755 0.755 0.245
Ru1 Ru 0.263 0.263 0.757
# Symmetry ... No. 8
# Total magnetization ... 0.0 Bohr magnetons per cell

arrangement two (53 meV per atom below the next structure)